Entry 1:
Crystalline Li2SmLu at its relaxed geometry, computed with GGA-PBE.

POSCAR file:
```
Li2SmLu
1.0
5.247 0.000 0.000
2.623 4.544 0.000
2.623 1.515 4.284
Lu Li Sm
1 2 1
Cartesian
0.000 0.000 0.000 Lu
2.623 1.515 1.071 Li
7.870 4.544 3.213 Li
5.247 3.029 2.142 Sm
```

Properties
For the calculated formation energy, the calculation gives 0.157 eV per atom. As for the energy above the lowest structure with this stoichiometry: 0.002 eV/f.u.

Entry 2:
Crystalline SrRhPb2 at its relaxed geometry, computed with GGA-PBE.

POSCAR file:
```
SrRhPb2
1.0
-2.252 3.441 0.192
-4.813 -3.114 -0.653
-2.688 -2.020 4.685
Sr Pb Rh
1 2 1
Cartesian
-6.752 -2.130 3.120 Sr
-0.526 -0.360 0.283 Pb
-3.225 -2.207 1.733 Pb
-3.001 0.437 1.104 Rh
```

Properties
For the calculated formation energy, the calculation gives -0.250 eV per atom.

Entry 3:
Crystalline Mg3InHg at its relaxed geometry, computed with GGA-PBE.

POSCAR file:
```
Mg3InHg
1.0
5.244 0.000 0.000
0.000 5.244 0.000
0.000 0.000 5.244
Mg Hg In
3 1 1
Cartesian
2.622 0.000 0.000 Mg
0.000 2.622 0.000 Mg
0.000 0.000 2.622 Mg
0.000 0.000 0.000 Hg
2.622 2.622 2.622 In
```

Properties
For the calculated formation energy, the calculation gives 0.123 eV per atom. As for the energy above the lowest structure with this stoichiometry: 1.105 eV/f.u.

Entry 4:
Crystalline RbY2Co at its relaxed geometry, computed with GGA-PBE.

POSCAR file:
```
RbY2Co
1.0
-7.977 0.676 -0.092
-0.601 -6.457 4.695
-4.059 0.450 6.925
Y Rb Co
4 2 2
Cartesian
-4.381 -3.669 4.631 Y
-6.411 -3.444 8.093 Y
-4.082 -0.441 2.284 Y
-10.400 -3.107 8.048 Y
0.000 0.000 0.000 Rb
-8.162 -0.882 4.567 Rb
-4.289 -2.890 2.302 Co
-4.475 -4.448 6.961 Co
```

Properties
For the calculated formation energy, the calculation gives 0.528 eV per atom.

Entry 5:
Crystalline MnBe2Tl at its relaxed geometry, computed with GGA-PBE.

POSCAR file:
```
MnBe2Tl
1.0
-0.291 3.622 -3.406
-3.041 0.138 3.655
1.318 2.217 1.147
Tl Be Mn
1 2 1
Cartesian
0.514 2.920 -1.130 Tl
-0.862 1.178 2.401 Be
0.000 0.000 0.000 Be
-1.666 1.880 0.124 Mn
```

Properties
For the calculated formation energy, the calculation gives 0.714 eV per atom. As for the energy above the lowest structure with this stoichiometry: 1.296 eV/f.u.

Entry 6:
Crystalline HgS2O2 at its relaxed geometry, computed with GGA-PBE.

POSCAR file:
```
HgS2O2
1.0
3.356 0.000 0.000
0.000 3.356 0.000
1.678 1.678 8.634
Hg S O
1 2 2
Cartesian
0.000 0.000 0.000 Hg
1.678 3.356 4.317 S
3.356 1.678 4.317 S
1.678 1.678 0.792 O
3.356 3.356 7.842 O
```

Properties
As for the energy above the lowest structure with this stoichiometry: 1.919 eV/f.u. The value obtained for the formation energy without anion corrections is 521 meV/atom.

Entry 7:
Crystalline AcPm12Nd3 at its relaxed geometry, computed with GGA-PBE.

POSCAR file:
```
AcPm12Nd3
1.0
5.206 0.000 0.000
0.000 5.206 0.000
0.000 0.000 20.808
Pm Nd Ac
12 3 1
Cartesian
0.000 2.603 2.683 Pm
2.603 2.603 0.000 Pm
0.000 2.603 7.829 Pm
0.000 2.603 18.125 Pm
0.000 2.603 12.980 Pm
2.603 0.000 12.980 Pm
2.603 0.000 7.829 Pm
2.603 2.603 5.263 Pm
2.603 0.000 18.125 Pm
2.603 0.000 2.683 Pm
2.603 2.603 15.545 Pm
2.603 2.603 10.404 Pm
0.000 0.000 10.404 Nd
0.000 0.000 5.244 Nd
0.000 0.000 15.564 Nd
0.000 0.000 0.000 Ac
```

Properties
For the calculated formation energy, the calculation gives 0.018 eV per atom.

Entry 8:
Crystalline Ba2HoCuO5 at its relaxed geometry, computed with GGA-PBE.

POSCAR file:
```
Ba2HoCuO5
1.0
-0.872 2.751 2.130
-4.580 -5.798 2.594
7.958 -3.060 7.211
Ho O Cu Ba
2 10 2 4
Cartesian
0.778 -2.911 7.100 Ho
-1.747 -1.859 1.687 Ho
2.221 -4.656 6.924 O
1.232 -6.804 9.294 O
-0.119 -4.057 5.192 O
-1.204 -0.878 3.661 O
-1.114 -4.188 7.975 O
1.800 0.495 3.119 O
4.888 -2.920 8.794 O
7.485 -3.404 7.463 O
-3.303 -3.030 2.562 O
2.016 -1.618 5.937 O
-1.031 -5.300 6.425 Cu
6.495 -1.944 8.191 Cu
-2.807 -2.594 5.222 Ba
1.350 -2.170 3.356 Ba
4.302 -3.124 5.797 Ba
2.485 -4.448 9.784 Ba
```

Properties
The value obtained for the formation energy without anion corrections is -2217 meV/atom.

Entry 9:
Crystalline Cd2HgPdPb at its relaxed geometry, computed with GGA-PBE.

POSCAR file:
```
Cd2HgPdPb
1.0
5.285 0.000 0.000
0.000 5.285 0.000
0.000 0.000 5.242
Hg Cd Pb Pd
1 2 1 1
Cartesian
2.642 2.642 2.621 Hg
0.000 2.642 0.000 Cd
2.642 0.000 0.000 Cd
0.000 0.000 2.621 Pb
0.000 0.000 0.000 Pd
```

Properties
For the calculated formation energy, the calculation gives -0.006 eV per atom.

Entry 10:
Crystalline PmNdPu2S4 at its relaxed geometry, computed with GGA-PBE.

POSCAR file:
```
PmNdPu2S4
1.0
-0.136 -3.218 -2.364
6.425 -1.696 1.940
-4.572 -2.975 4.312
S Nd Pu Pm
4 1 2 1
Cartesian
-1.792 -2.627 3.679 S
0.380 -2.813 0.431 S
3.646 -2.043 2.572 S
1.338 -5.076 3.457 S
0.000 0.000 0.000 Nd
-2.354 -3.097 0.974 Pu
0.927 -2.335 3.126 Pu
3.145 -2.457 -0.212 Pm
```

Properties
The value obtained for the formation energy without anion corrections is -1916 meV/atom.

Entry 11:
Crystalline VAsOs at its relaxed geometry, computed with GGA-PBE.

POSCAR file:
```
VAsOs
1.0
-2.586 2.459 -2.260
0.544 -2.934 0.132
-7.665 -1.076 7.600
V Os As
2 2 2
Cartesian
-0.894 -0.925 0.016 V
-8.813 -0.626 5.456 V
-6.435 -1.703 5.510 Os
-3.272 0.152 -0.038 Os
-3.109 -1.237 2.211 As
-6.598 -0.314 3.261 As
```

Properties
For the calculated formation energy, the calculation gives -0.138 eV per atom. As for the energy above the lowest structure with this stoichiometry: 0.150 eV/f.u.

Entry 12:
Crystalline PmCu4Pt4 at its relaxed geometry, computed with GGA-PBE.

POSCAR file:
```
PmCu4Pt4
1.0
4.602 0.000 0.000
0.000 8.122 0.000
0.000 0.000 8.122
Pm Pt Cu
2 8 8
Cartesian
2.301 4.061 4.061 Pm
0.000 0.000 0.000 Pm
4.599 5.210 7.485 Pt
2.304 1.149 3.424 Pt
4.599 2.912 0.637 Pt
2.298 4.698 1.149 Pt
2.304 6.973 4.698 Pt
0.003 7.485 2.912 Pt
0.003 0.637 5.210 Pt
2.298 3.424 6.973 Pt
4.599 5.127 2.136 Cu
4.599 2.995 5.986 Cu
0.003 2.136 2.995 Cu
2.303 1.066 6.197 Cu
2.298 6.197 7.056 Cu
0.003 5.986 5.127 Cu
2.303 7.056 1.925 Cu
2.298 1.925 1.066 Cu
```

Properties
For the calculated formation energy, the calculation gives -0.184 eV per atom.

Entry 13:
Crystalline NaSn12Rh4 at its relaxed geometry, computed with GGA-PBE.

POSCAR file:
```
NaSn12Rh4
1.0
8.221 0.000 0.000
-2.740 7.750 0.000
-2.740 -3.875 6.712
Na Sn Rh
1 12 4
Cartesian
0.000 0.000 0.000 Na
5.482 1.936 1.167 Sn
2.738 -0.043 2.260 Sn
3.693 3.201 3.359 Sn
0.002 3.918 4.452 Sn
-0.002 -1.896 5.619 Sn
-1.787 5.183 2.260 Sn
1.787 0.634 5.619 Sn
2.742 5.772 1.093 Sn
-2.742 1.939 5.545 Sn
-0.953 0.674 3.354 Sn
0.953 3.241 1.093 Sn
4.528 -1.308 4.452 Sn
4.110 0.000 0.000 Rh
-1.370 3.875 0.000 Rh
-1.370 -1.938 3.356 Rh
1.370 1.938 3.356 Rh
```

Properties
For the calculated formation energy, the calculation gives -0.208 eV per atom.

Entry 14:
Crystalline WAu at its relaxed geometry, computed with GGA-PBE.

POSCAR file:
```
WAu
1.0
-2.894 0.620 -1.307
-1.446 -1.209 2.630
0.015 2.936 1.359
Au W
1 1
Cartesian
0.000 0.000 0.000 Au
-2.163 1.173 1.341 W
```

Properties
For the calculated formation energy, the calculation gives 0.810 eV per atom. As for the energy above the lowest structure with this stoichiometry: 1.120 eV/f.u.

Entry 15:
Crystalline As2OsBr at its relaxed geometry, computed with GGA-PBE.

POSCAR file:
```
As2OsBr
1.0
2.959 0.000 0.000
0.000 2.960 0.000
0.000 0.000 10.307
Os As Br
1 2 1
Cartesian
1.480 1.480 7.730 Os
0.000 0.000 6.104 As
0.000 0.000 9.357 As
1.480 1.480 2.577 Br
```

Properties
As for the energy above the lowest structure with this stoichiometry: 0.269 eV/f.u. The value obtained for the formation energy without anion corrections is 137 meV/atom.

Entry 16:
Crystalline Mg2ScTlC at its relaxed geometry, computed with GGA-PBE.

POSCAR file:
```
Mg2ScTlC
1.0
-1.613 3.103 -2.832
-3.580 -2.602 -0.812
-2.219 1.981 3.434
Sc Mg Tl C
1 2 1 1
Cartesian
-1.109 0.990 1.717 Sc
-0.806 1.551 -1.416 Mg
-1.790 -1.301 -0.406 Mg
-3.706 1.241 -0.105 Tl
0.000 0.000 0.000 C
```

Properties
For the calculated formation energy, the calculation gives -0.108 eV per atom.

Entry 17:
Crystalline Pr4Nd3Y2 at its relaxed geometry, computed with GGA-PBE.

POSCAR file:
```
Pr4Nd3Y2
1.0
-1.038 2.163 2.776
-1.854 -3.085 -0.714
16.489 -13.833 16.948
Pr Nd Y
4 3 2
Cartesian
5.833 -5.579 8.954 Pr
12.655 -10.617 13.007 Pr
8.980 -7.534 9.230 Pr
2.194 -2.526 5.214 Pr
9.497 -8.653 12.720 Nd
16.205 -13.595 16.656 Nd
5.281 -4.431 5.428 Nd
13.101 -11.676 16.424 Y
0.123 -0.788 3.085 Y
```

Properties
For the calculated formation energy, the calculation gives 0.065 eV per atom. As for the energy above the lowest structure with this stoichiometry: 0.449 eV/f.u.

Entry 18:
Crystalline LaPb2I at its relaxed geometry, computed with GGA-PBE.

POSCAR file:
```
LaPb2I
1.0
-1.597 -5.537 -0.050
-5.585 -1.385 -0.307
-2.127 -2.342 -4.817
La I Pb
1 1 2
Cartesian
-4.654 -4.632 -2.587 La
0.000 0.000 0.000 I
-2.327 -2.316 -1.294 Pb
-6.981 -6.948 -3.881 Pb
```

Properties
As for the energy above the lowest structure with this stoichiometry: 1.194 eV/f.u. The value obtained for the formation energy without anion corrections is -68 meV/atom.

Entry 19:
Crystalline HoPaRuPt at its relaxed geometry, computed with GGA-PBE.

POSCAR file:
```
HoPaRuPt
1.0
-0.680 4.061 2.638
-0.899 -0.322 4.796
3.392 1.418 3.224
Ru Pa Ho Pt
1 1 1 1
Cartesian
0.453 1.289 2.664 Ru
0.907 2.578 5.329 Pa
0.000 0.000 0.000 Ho
1.360 3.868 7.993 Pt
```

Properties
For the calculated formation energy, the calculation gives -0.651 eV per atom.

Entry 20:
Crystalline CuPd3Au5 at its relaxed geometry, computed with GGA-PBE.

POSCAR file:
```
CuPd3Au5
1.0
5.877 -0.509 -0.531
1.119 5.792 -0.531
1.875 1.416 9.851
Au Pd Cu
10 6 2
Cartesian
4.853 0.774 6.245 Au
4.018 5.925 2.544 Au
5.359 4.047 0.740 Au
3.772 2.848 2.549 Au
6.798 2.242 2.544 Au
5.099 3.850 6.240 Au
3.512 2.652 8.048 Au
4.321 1.552 -0.531 Au
2.675 3.731 -0.531 Au
2.073 4.456 6.245 Au
0.937 0.708 4.926 Pd
1.968 1.486 0.908 Pd
6.902 5.212 7.881 Pd
5.842 4.411 3.718 Pd
0.000 0.000 0.000 Pd
3.028 2.287 5.071 Pd
1.592 1.202 7.306 Cu
7.279 5.496 1.483 Cu
```

Properties
For the calculated formation energy, the calculation gives 0.240 eV per atom.

Calculated total energy, record by record: -3.1103; -4.3627; -1.4415; -4.7228; -4.0335; -3.1740; -4.6962; -6.3630; -2.2128; -8.7529; -8.4708; -5.2171; -4.8410; -7.3057; -5.4130; -4.3299; -5.0853; -3.5411; -7.9984; -3.7668 eV per atom